No. 1
{
  "formula": "AcFe3",
  "functional": "GGA-PBE",
  "state": "relaxed",
  "lattice": [[4.7079, -1.1987, 2.0795], [0.2399, -4.3987, 2.9188], [-1.8456, 1.3254, -4.7710]],
  "species": ["Ac", "Fe", "Fe", "Fe"],
  "fractional_positions": [[0.0000, 0.0000, 0.0000], [0.5000, 0.5000, 0.0000], [0.7500, 0.2500, 0.5000], [0.2500, 0.7500, 0.5000]],
  "rho_g_cm3": 9.43,
  "total_magnetization_mub_per_cell": 7.05,
  "sg": "I4/mmm, No. 139",
  "delta_e_f_mev_per_atom": 659
}

=====

No. 2
{
  "formula": "LuHfSc",
  "functional": "GGA-PBE",
  "state": "relaxed",
  "lattice": [[0.0000, 3.5226, 3.5226], [3.5226, 0.0000, 3.5226], [3.5226, 3.5226, 0.0000]],
  "species": ["Hf", "Lu", "Sc"],
  "fractional_positions": [[0.0000, 0.0000, 0.0000], [0.2500, 0.2500, 0.2500], [0.7500, 0.7500, 0.7500]],
  "rho_g_cm3": 7.57,
  "total_magnetization_mub_per_cell": 0.67,
  "sg": "F-43m, No. 216",
  "delta_e_f_mev_per_atom": 900,
  "e_above_lowest_polymorph_ev_per_atom": 0.000
}

=====

No. 3
{
  "formula": "NaPuTl",
  "functional": "GGA-PBE",
  "state": "relaxed",
  "lattice": [[-1.7154, -1.6344, 4.7076], [-2.2901, 3.4118, 3.3001], [-5.1733, -0.3235, 0.9526]],
  "species": ["Na", "Pu", "Tl"],
  "fractional_positions": [[0.2500, 0.2500, 0.2500], [0.0000, 0.0000, 0.0000], [0.7500, 0.7500, 0.7500]],
  "rho_g_cm3": 7.56,
  "total_magnetization_mub_per_cell": 6.85,
  "sg": "F-43m, No. 216",
  "e_above_lowest_polymorph_ev_per_atom": 0.240
}

=====

No. 4
{
  "formula": "CuSi17Ge14",
  "functional": "GGA-PBE",
  "state": "relaxed",
  "lattice": [[-4.4117, 2.0975, 2.6594], [-1.0300, -3.6211, 1.1473], [17.4030, 3.3311, 26.1374]],
  "species": ["Cu", "Ge", "Ge", "Ge", "Ge", "Ge", "Ge", "Ge", "Ge", "Ge", "Ge", "Ge", "Ge", "Ge", "Ge", "Si", "Si", "Si", "Si", "Si", "Si", "Si", "Si", "Si", "Si", "Si", "Si", "Si", "Si", "Si", "Si", "Si"],
  "fractional_positions": [[0.7406, 0.0000, 0.6248], [0.7552, 0.0000, 0.0019], [0.9959, 0.5000, 0.1234], [0.5090, 0.0000, 0.1882], [0.2441, 0.5000, 0.1887], [0.9957, 0.5000, 0.3732], [0.2559, 0.5000, 0.4369], [0.7408, 0.0000, 0.5007], [0.0055, 0.5000, 0.5014], [0.9855, 0.5000, 0.6241], [0.2565, 0.5000, 0.6882], [0.7501, 0.0000, 0.7503], [0.9949, 0.5000, 0.8732], [0.5061, 0.0000, 0.9369], [0.2440, 0.5000, 0.9381], [0.0053, 0.5000, 0.0017], [0.2555, 0.5000, 0.0620], [0.4950, 0.0000, 0.0633], [0.7447, 0.0000, 0.1238], [0.9969, 0.5000, 0.2517], [0.7548, 0.0000, 0.2519], [0.2546, 0.5000, 0.3114], [0.4976, 0.0000, 0.3121], [0.7431, 0.0000, 0.3738], [0.5062, 0.0000, 0.4360], [0.2609, 0.5000, 0.5636], [0.4992, 0.0000, 0.5644], [0.5096, 0.0000, 0.6859], [0.0034, 0.5000, 0.7510], [0.2543, 0.5000, 0.8116], [0.4944, 0.0000, 0.8128], [0.7446, 0.0000, 0.8732]],
  "rho_g_cm3": 3.74,
  "energy_ev_per_atom": -4.954,
  "sg": "Pm, No. 6"
}

=====

No. 5
{
  "formula": "KDyCuSe3",
  "functional": "GGA-PBE",
  "state": "relaxed",
  "lattice": [[-0.8332, -0.6373, 9.0198], [-4.0265, -0.2876, -0.3923], [0.9950, -8.8462, -3.7287]],
  "species": ["Cu", "Cu", "Dy", "Dy", "K", "K", "Se", "Se", "Se", "Se", "Se", "Se"],
  "fractional_positions": [[0.5846, 0.2500, 0.1001], [0.4154, 0.7500, 0.8999], [0.8228, 0.7500, 0.3551], [0.1772, 0.2500, 0.6449], [0.2908, 0.7500, 0.2623], [0.7092, 0.2500, 0.7377], [0.6968, 0.7500, 0.0325], [0.0371, 0.2500, 0.3346], [0.6044, 0.2500, 0.3576], [0.3956, 0.7500, 0.6424], [0.9629, 0.7500, 0.6654], [0.3032, 0.2500, 0.9675]],
  "rho_g_cm3": 4.97,
  "total_magnetization_mub_per_cell": 0.00,
  "energy_ev_per_atom": -4.497,
  "sg": "P2_1/m, No. 11"
}

=====

No. 6
{
  "formula": "MgBeZnGe",
  "functional": "GGA-PBE",
  "state": "relaxed",
  "lattice": [[-1.6508, -1.5062, 3.9084], [-1.9123, 2.8719, 2.8921], [-4.4505, -0.1101, 0.6708]],
  "species": ["Be", "Ge", "Mg", "Zn"],
  "fractional_positions": [[0.2500, 0.2500, 0.2500], [0.0000, 0.0000, 0.0000], [0.5000, 0.5000, 0.5000], [0.7500, 0.7500, 0.7500]],
  "rho_g_cm3": 4.41,
  "sg": "F-43m, No. 216",
  "e_above_lowest_polymorph_ev_per_atom": 0.045
}